# LaZn2P, optimized geometry, DFT PBE
data_LaZn2P
_chemical_formula_sum 'La1 Zn2 P1'
_cell_length_a 5.751
_cell_length_b 5.751
_cell_length_c 5.751
_cell_angle_alpha 44.06
_cell_angle_beta 44.06
_cell_angle_gamma 44.06
_symmetry_space_group_name_H-M 'P 1'
_symmetry_Int_Tables_number 1
_symmetry_space_group_name_Hall 'P 1'
loop_
_atom_site_label
_atom_site_type_symbol
_atom_site_fract_x
_atom_site_fract_y
_atom_site_fract_z
_atom_site_occupancy
La1 La 0.000 0.000 0.000 1
Zn1 Zn 0.486 0.486 0.486 1
Zn2 Zn 0.780 0.780 0.780 1
P1 P 0.214 0.214 0.214 1
# energy of formation: -0.5161 eV/atom
# magnetic moment: 0.0 μB/f.u.

---

# TlP2, optimized geometry, DFT PBE
data_TlP2
_chemical_formula_sum 'Tl1 P2'
_cell_length_a 4.657
_cell_length_b 4.657
_cell_length_c 4.657
_cell_angle_alpha 60.00
_cell_angle_beta 60.00
_cell_angle_gamma 60.00
_symmetry_space_group_name_H-M 'P 1'
_symmetry_Int_Tables_number 1
_symmetry_space_group_name_Hall 'P 1'
loop_
_atom_site_label
_atom_site_type_symbol
_atom_site_fract_x
_atom_site_fract_y
_atom_site_fract_z
_atom_site_occupancy
Tl1 Tl 0.000 0.000 0.000 1
P1 P 0.250 0.250 0.250 1
P2 P 0.750 0.750 0.750 1
# energy of formation: 0.9750 eV/atom
# magnetic moment: 0.0 μB/f.u.

---

# Mn2CoAg, optimized geometry, DFT PBE
data_Mn2CoAg
_chemical_formula_sum 'Mn2 Co1 Ag1'
_cell_length_a 8.620
_cell_length_b 8.620
_cell_length_c 8.620
_cell_angle_alpha 18.17
_cell_angle_beta 18.17
_cell_angle_gamma 18.17
_symmetry_space_group_name_H-M 'P 1'
_symmetry_Int_Tables_number 1
_symmetry_space_group_name_Hall 'P 1'
loop_
_atom_site_label
_atom_site_type_symbol
_atom_site_fract_x
_atom_site_fract_y
_atom_site_fract_z
_atom_site_occupancy
Mn1 Mn 0.000 0.000 0.000 1
Mn2 Mn 0.257 0.257 0.257 1
Co1 Co 0.740 0.740 0.740 1
Ag1 Ag 0.497 0.497 0.497 1
# energy of formation: 0.3111 eV/atom
# magnetic moment: 1.7 μB/f.u.

---

# CdInTe2I, optimized geometry, DFT PBE
data_CdInTe2I
_chemical_formula_sum 'Cd1 In1 Te2 I1'
_cell_length_a 5.617
_cell_length_b 5.617
_cell_length_c 6.150
_cell_angle_alpha 90.00
_cell_angle_beta 90.00
_cell_angle_gamma 90.00
_symmetry_space_group_name_H-M 'P 1'
_symmetry_Int_Tables_number 1
_symmetry_space_group_name_Hall 'P 1'
loop_
_atom_site_label
_atom_site_type_symbol
_atom_site_fract_x
_atom_site_fract_y
_atom_site_fract_z
_atom_site_occupancy
Cd1 Cd 0.000 0.000 0.000 1
In1 In 0.500 0.500 0.500 1
Te1 Te 0.000 0.500 0.000 1
Te2 Te 0.500 0.000 0.000 1
I1 I 0.000 0.000 0.500 1
# raw formation energy: 0.10 eV per atom
# magnetic moment: 0.0 μB/f.u.

---

# SrPa2NiS8, optimized geometry, DFT PBE
data_SrPa2NiS8
_chemical_formula_sum 'Sr1 Pa2 Ni1 S8'
_cell_length_a 5.926
_cell_length_b 5.926
_cell_length_c 8.214
_cell_angle_alpha 90.00
_cell_angle_beta 90.00
_cell_angle_gamma 120.00
_symmetry_space_group_name_H-M 'P 1'
_symmetry_Int_Tables_number 1
_symmetry_space_group_name_Hall 'P 1'
loop_
_atom_site_label
_atom_site_type_symbol
_atom_site_fract_x
_atom_site_fract_y
_atom_site_fract_z
_atom_site_occupancy
Sr1 Sr 0.000 0.000 0.000 1
Pa1 Pa 0.333 0.667 0.373 1
Pa2 Pa 0.667 0.333 0.627 1
Ni1 Ni 0.000 0.000 0.500 1
S1 S 0.173 0.346 0.665 1
S2 S 0.173 0.827 0.665 1
S3 S 0.333 0.667 0.073 1
S4 S 0.346 0.173 0.335 1
S5 S 0.654 0.827 0.665 1
S6 S 0.667 0.333 0.927 1
S7 S 0.827 0.173 0.335 1
S8 S 0.827 0.654 0.335 1
# raw formation energy: -1.17 eV per atom
# magnetic moment: 0.0 μB/f.u.

---

# CaPrNdAl, optimized geometry, DFT PBE
data_CaPrNdAl
_chemical_formula_sum 'Ca1 Pr1 Nd1 Al1'
_cell_length_a 5.538
_cell_length_b 5.538
_cell_length_c 5.538
_cell_angle_alpha 60.00
_cell_angle_beta 60.00
_cell_angle_gamma 60.00
_symmetry_space_group_name_H-M 'P 1'
_symmetry_Int_Tables_number 1
_symmetry_space_group_name_Hall 'P 1'
loop_
_atom_site_label
_atom_site_type_symbol
_atom_site_fract_x
_atom_site_fract_y
_atom_site_fract_z
_atom_site_occupancy
Ca1 Ca 0.000 0.000 0.000 1
Pr1 Pr 0.750 0.750 0.750 1
Nd1 Nd 0.250 0.250 0.250 1
Al1 Al 0.500 0.500 0.500 1
# energy of formation: -0.0876 eV/atom
# magnetic moment: 0.0 μB/f.u.

---

# Cs2SeN2, optimized geometry, DFT PBE
data_Cs2SeN2
_chemical_formula_sum 'Cs2 Se1 N2'
_cell_length_a 6.067
_cell_length_b 6.067
_cell_length_c 6.206
_cell_angle_alpha 119.31
_cell_angle_beta 119.31
_cell_angle_gamma 60.08
_symmetry_space_group_name_H-M 'P 1'
_symmetry_Int_Tables_number 1
_symmetry_space_group_name_Hall 'P 1'
loop_
_atom_site_label
_atom_site_type_symbol
_atom_site_fract_x
_atom_site_fract_y
_atom_site_fract_z
_atom_site_occupancy
Cs1 Cs 0.249 0.249 0.247 1
Cs2 Cs 0.751 0.751 0.753 1
Se1 Se 0.000 0.000 0.500 1
N1 N 0.464 0.464 0.890 1
N2 N 0.536 0.536 0.110 1
# raw formation energy: -0.63 eV per atom
# magnetic moment: 0.0 μB/f.u.

---

# YGa2Cu, optimized geometry, DFT PBE
data_YGa2Cu
_chemical_formula_sum 'Y4 Ga8 Cu4'
_cell_length_a 7.822
_cell_length_b 6.655
_cell_length_c 5.625
_cell_angle_alpha 90.00
_cell_angle_beta 90.00
_cell_angle_gamma 90.00
_symmetry_space_group_name_H-M 'P 1'
_symmetry_Int_Tables_number 1
_symmetry_space_group_name_Hall 'P 1'
loop_
_atom_site_label
_atom_site_type_symbol
_atom_site_fract_x
_atom_site_fract_y
_atom_site_fract_z
_atom_site_occupancy
Y1 Y 0.033 0.250 0.128 1
Y2 Y 0.467 0.750 0.628 1
Y3 Y 0.533 0.250 0.372 1
Y4 Y 0.967 0.750 0.872 1
Ga1 Ga 0.191 0.054 0.609 1
Ga2 Ga 0.191 0.446 0.609 1
Ga3 Ga 0.309 0.554 0.109 1
Ga4 Ga 0.309 0.946 0.109 1
Ga5 Ga 0.691 0.054 0.891 1
Ga6 Ga 0.691 0.446 0.891 1
Ga7 Ga 0.809 0.554 0.391 1
Ga8 Ga 0.809 0.946 0.391 1
Cu1 Cu 0.089 0.750 0.370 1
Cu2 Cu 0.411 0.250 0.870 1
Cu3 Cu 0.589 0.750 0.130 1
Cu4 Cu 0.911 0.250 0.630 1
# energy of formation: -0.4822 eV/atom
# magnetic moment: 0.0 μB/f.u.